## LaHf3Se (GGA-PBEsol)

Data for an optimized crystal structure of LaHf3Se.

```
data_LaHf3Se
_space_group_name_H-M_alt 'P m -3 m'
_space_group_IT_number 221
_space_group_name_Hall '-P 4 2 3'
_cell_length_a 5.0745
_cell_length_b 5.0745
_cell_length_c 5.0745
_cell_angle_alpha 90.00
_cell_angle_beta 90.00
_cell_angle_gamma 90.00
loop_
_atom_site_label
_atom_site_type_symbol
_atom_site_fract_x
_atom_site_fract_y
_atom_site_fract_z
_atom_site_occupancy
La1 La 0.0000 0.0000 0.0000 1
Hf1 Hf 0.0000 0.0000 0.5000 1
Se1 Se 0.5000 0.5000 0.5000 1
```

Properties
As for the energy relative to the elements, uncorrected: 1.535 eV per atom. For the density of states at the Fermi level, the calculation gives 0.881 states/eV/atom.

## LiCa3Zr3TaO12 (GGA-PBEsol)

Data for an optimized crystal structure of LiCa3Zr3TaO12.

```
data_LiCa3Zr3TaO12
_space_group_name_H-M_alt 'P 1 21 1'
_space_group_IT_number 4
_space_group_name_Hall 'P 2yb'
_cell_length_a 5.4787
_cell_length_b 5.7063
_cell_length_c 15.7777
_cell_angle_alpha 90.00
_cell_angle_beta 90.12
_cell_angle_gamma 90.00
loop_
_atom_site_label
_atom_site_type_symbol
_atom_site_fract_x
_atom_site_fract_y
_atom_site_fract_z
_atom_site_occupancy
Li1 Li 0.2126 0.0000 0.0000 1
Ca1 Ca 0.2326 0.0660 0.2422 1
Ca2 Ca 0.2350 0.0655 0.7576 1
Ca3 Ca 0.2671 0.1723 0.5000 1
Zr1 Zr 0.2469 0.6186 0.3734 1
Zr2 Zr 0.2495 0.6190 0.6272 1
Zr3 Zr 0.2631 0.6022 0.8807 1
Ta1 Ta 0.2566 0.6089 0.1205 1
O1 O 0.0382 0.3351 0.8470 1
O2 O 0.0450 0.3491 0.1510 1
O3 O 0.0570 0.3144 0.3433 1
O4 O 0.0590 0.3138 0.6561 1
O5 O 0.1371 0.6313 0.0039 1
O6 O 0.1412 0.5769 0.4998 1
O7 O 0.3498 0.6566 0.2439 1
O8 O 0.3555 0.6605 0.7541 1
O9 O 0.4211 0.9288 0.1019 1
O10 O 0.4452 0.9181 0.4023 1
O11 O 0.4451 0.9422 0.8998 1
O12 O 0.4471 0.9185 0.5969 1
```

Properties
As for the energy relative to the elements, uncorrected: -3.200 eV per atom. For the density of states at the Fermi level, the calculation gives 0.000 states/eV/atom.

## TaFeHg2Au (GGA-PBEsol)

Data for an optimized crystal structure of TaFeHg2Au.

```
data_TaFeHg2Au
_space_group_name_H-M_alt 'P 4/m m m'
_space_group_IT_number 123
_space_group_name_Hall '-P 4 2'
_cell_length_a 4.8463
_cell_length_b 4.8463
_cell_length_c 4.3415
_cell_angle_alpha 90.00
_cell_angle_beta 90.00
_cell_angle_gamma 90.00
loop_
_atom_site_label
_atom_site_type_symbol
_atom_site_fract_x
_atom_site_fract_y
_atom_site_fract_z
_atom_site_occupancy
Ta1 Ta 0.0000 0.0000 0.0000 1
Fe1 Fe 0.0000 0.0000 0.5000 1
Hg1 Hg 0.0000 0.5000 0.5000 1
Au1 Au 0.5000 0.5000 0.0000 1
```

Properties
The energy of formation is 4.1 eV/f.u. For the density of states at the Fermi level, the calculation gives 0.744 states/eV/atom.

## SrHgPb2 (GGA-PBEsol)

Data for an optimized crystal structure of SrHgPb2.

```
data_SrHgPb2
_space_group_name_H-M_alt 'P 4 m m'
_space_group_IT_number 99
_space_group_name_Hall 'P 4 -2'
_cell_length_a 3.9816
_cell_length_b 3.9816
_cell_length_c 7.3951
_cell_angle_alpha 90.00
_cell_angle_beta 90.00
_cell_angle_gamma 90.00
loop_
_atom_site_label
_atom_site_type_symbol
_atom_site_fract_x
_atom_site_fract_y
_atom_site_fract_z
_atom_site_occupancy
Sr1 Sr 0.0000 0.0000 0.0000 1
Hg1 Hg 0.5000 0.5000 0.2499 1
Pb1 Pb 0.0000 0.0000 0.4789 1
Pb2 Pb 0.5000 0.5000 0.7038 1
```

Properties
The energy of formation is -1.3 eV/f.u. For the density of states at the Fermi level, the calculation gives 0.527 states/eV/atom.

## K2ZrCl (GGA-PBEsol)

Data for an optimized crystal structure of K2ZrCl.

```
data_K2ZrCl
_space_group_name_H-M_alt 'F -4 3 m'
_space_group_IT_number 216
_space_group_name_Hall 'F -4 2 3'
_cell_length_a 8.1832
_cell_length_b 8.1832
_cell_length_c 8.1832
_cell_angle_alpha 90.00
_cell_angle_beta 90.00
_cell_angle_gamma 90.00
loop_
_atom_site_label
_atom_site_type_symbol
_atom_site_fract_x
_atom_site_fract_y
_atom_site_fract_z
_atom_site_occupancy
K1 K 0.0000 0.0000 0.0000 1
K2 K 0.2500 0.2500 0.2500 1
Zr1 Zr 0.0000 0.0000 0.5000 1
Cl1 Cl 0.2500 0.2500 0.7500 1
```

Properties
As for the energy relative to the elements, uncorrected: 0.563 eV per atom. For the density of states at the Fermi level, the calculation gives 1.362 states/eV/atom.

## Ta2ZnMo (GGA-PBEsol)

Data for an optimized crystal structure of Ta2ZnMo.

```
data_Ta2ZnMo
_space_group_name_H-M_alt 'P 4/m m m'
_space_group_IT_number 123
_space_group_name_Hall '-P 4 2'
_cell_length_a 3.2543
_cell_length_b 3.2543
_cell_length_c 6.0494
_cell_angle_alpha 90.00
_cell_angle_beta 90.00
_cell_angle_gamma 90.00
loop_
_atom_site_label
_atom_site_type_symbol
_atom_site_fract_x
_atom_site_fract_y
_atom_site_fract_z
_atom_site_occupancy
Ta1 Ta 0.0000 0.0000 0.2470 1
Zn1 Zn 0.5000 0.5000 0.5000 1
Mo1 Mo 0.5000 0.5000 0.0000 1
```

Properties
The energy of formation is -0.3 eV/f.u. For the density of states at the Fermi level, the calculation gives 0.297 states/eV/atom.

## ScCuSe3 (GGA-PBEsol)

Data for an optimized crystal structure of ScCuSe3.

```
data_ScCuSe3
_space_group_name_H-M_alt 'P m -3 m'
_space_group_IT_number 221
_space_group_name_Hall '-P 4 2 3'
_cell_length_a 4.6926
_cell_length_b 4.6926
_cell_length_c 4.6926
_cell_angle_alpha 90.00
_cell_angle_beta 90.00
_cell_angle_gamma 90.00
loop_
_atom_site_label
_atom_site_type_symbol
_atom_site_fract_x
_atom_site_fract_y
_atom_site_fract_z
_atom_site_occupancy
Sc1 Sc 0.0000 0.0000 0.0000 1
Cu1 Cu 0.5000 0.5000 0.5000 1
Se1 Se 0.0000 0.5000 0.5000 1
```

Properties
As for the energy relative to the elements, uncorrected: -0.224 eV per atom. For the density of states at the Fermi level, the calculation gives 0.583 states/eV/atom.

## FeTc2Au (GGA-PBEsol)

Data for an optimized crystal structure of FeTc2Au.

```
data_FeTc2Au
_space_group_name_H-M_alt 'P 1 m 1'
_space_group_IT_number 6
_space_group_name_Hall 'P -2y'
_cell_length_a 2.7157
_cell_length_b 3.7802
_cell_length_c 5.4719
_cell_angle_alpha 90.00
_cell_angle_beta 90.11
_cell_angle_gamma 90.00
loop_
_atom_site_label
_atom_site_type_symbol
_atom_site_fract_x
_atom_site_fract_y
_atom_site_fract_z
_atom_site_occupancy
Fe1 Fe 0.0000 0.0000 0.0000 1
Tc1 Tc 0.0042 0.0000 0.5484 1
Tc2 Tc 0.4882 0.5000 0.7656 1
Au1 Au 0.4992 0.5000 0.2595 1
```

Properties
The energy of formation is 0.8 eV/f.u. For the density of states at the Fermi level, the calculation gives 0.968 states/eV/atom. Its energy above the most stable polymorph in this dataset is 0.0 meV/atom.

## PbBr5 (GGA-PBEsol)

Data for an optimized crystal structure of PbBr5.

```
data_PbBr5
_space_group_name_H-M_alt 'P -6 2 m'
_space_group_IT_number 189
_space_group_name_Hall 'P -6 -2'
_cell_length_a 5.3876
_cell_length_b 5.3876
_cell_length_c 6.5284
_cell_angle_alpha 90.00
_cell_angle_beta 90.00
_cell_angle_gamma 120.00
loop_
_atom_site_label
_atom_site_type_symbol
_atom_site_fract_x
_atom_site_fract_y
_atom_site_fract_z
_atom_site_occupancy
Pb1 Pb 0.0000 0.0000 0.0000 1
Br1 Br 0.0000 0.6779 0.5000 1
Br2 Br 0.3333 0.6667 0.0000 1
```

Properties
As for the energy relative to the elements, uncorrected: -0.070 eV per atom. For the density of states at the Fermi level, the calculation gives 0.890 states/eV/atom. Its energy above the most stable polymorph in this dataset is 208.5 meV/atom.

## Co2Ni2Te5 (GGA-PBEsol)

Data for an optimized crystal structure of Co2Ni2Te5.

```
data_Co2Ni2Te5
_space_group_name_H-M_alt 'P -1'
_space_group_IT_number 2
_space_group_name_Hall '-P 1'
_cell_length_a 6.5011
_cell_length_b 6.5252
_cell_length_c 9.3049
_cell_angle_alpha 78.16
_cell_angle_beta 78.22
_cell_angle_gamma 61.82
loop_
_atom_site_label
_atom_site_type_symbol
_atom_site_fract_x
_atom_site_fract_y
_atom_site_fract_z
_atom_site_occupancy
Co1 Co 0.1029 0.0970 0.3086 1
Co2 Co 0.3075 0.2993 0.8985 1
Ni1 Ni 0.0900 0.1010 0.8109 1
Ni2 Ni 0.3073 0.3173 0.3974 1
Te1 Te 0.0626 0.7238 0.9444 1
Te2 Te 0.1332 0.4709 0.6500 1
Te3 Te 0.2634 0.9394 0.5541 1
Te4 Te 0.3353 0.6772 0.2489 1
Te5 Te 0.4644 0.1314 0.1457 1
```

Properties
As for the energy relative to the elements, uncorrected: -0.213 eV per atom. For the density of states at the Fermi level, the calculation gives 0.688 states/eV/atom.

## Mn4ReRu (GGA-PBEsol)

Data for an optimized crystal structure of Mn4ReRu.

```
data_Mn4ReRu
_space_group_name_H-M_alt 'F -4 3 m'
_space_group_IT_number 216
_space_group_name_Hall 'F -4 2 3'
_cell_length_a 6.5064
_cell_length_b 6.5064
_cell_length_c 6.5064
_cell_angle_alpha 90.00
_cell_angle_beta 90.00
_cell_angle_gamma 90.00
loop_
_atom_site_label
_atom_site_type_symbol
_atom_site_fract_x
_atom_site_fract_y
_atom_site_fract_z
_atom_site_occupancy
Mn1 Mn 0.1237 0.1237 0.1237 1
Re1 Re 0.0000 0.0000 0.5000 1
Ru1 Ru 0.2500 0.2500 0.7500 1
```

Properties
The energy of formation is -0.1 eV/f.u. For the density of states at the Fermi level, the calculation gives 1.189 states/eV/atom.

## LaCo2Os (GGA-PBEsol)

Data for an optimized crystal structure of LaCo2Os.

```
data_LaCo2Os
_space_group_name_H-M_alt 'R -3 m'
_space_group_IT_number 166
_space_group_name_Hall '-R 3 2"'
_cell_length_a 4.1103
_cell_length_b 4.1103
_cell_length_c 14.7529
_cell_angle_alpha 90.00
_cell_angle_beta 90.00
_cell_angle_gamma 120.00
loop_
_atom_site_label
_atom_site_type_symbol
_atom_site_fract_x
_atom_site_fract_y
_atom_site_fract_z
_atom_site_occupancy
La1 La 0.0000 0.0000 0.0000 1
Co1 Co 0.0000 0.0000 0.1876 1
Os1 Os 0.0000 0.0000 0.5000 1
```

Properties
The energy of formation is 0.1 eV/f.u. For the density of states at the Fermi level, the calculation gives 0.937 states/eV/atom. Its energy above the most stable polymorph in this dataset is 0.0 meV/atom.